1.
VASP calculation (PBE-GGA) on a relaxed structure of MgBeV. Values from VASP.

Geometry as Quantum ESPRESSO input:
```
&SYSTEM
  ibrav = 0, nat = 6, ntyp = 3
/
ATOMIC_SPECIES
Be 9.01 Be.upf
Mg 24.30 Mg.upf
V 50.94 V.upf
CELL_PARAMETERS angstrom
-1.0582 -1.0876 2.2732
1.7028 -2.1261 -0.2246
7.5063 5.3712 6.0641
ATOMIC_POSITIONS crystal
Be 0.0000 0.0000 0.5574
Be 0.5000 0.5000 0.0574
Mg 0.0000 0.0000 0.2238
Mg 0.5000 0.5000 0.7238
V 0.0000 0.0000 0.9238
V 0.5000 0.5000 0.4238
```

E above lowest polymorph in meV/atom: 151

---

2.
VASP calculation (PBE-GGA) on a relaxed structure of Ho6Te3P2Au. Values from VASP.

Geometry as Quantum ESPRESSO input:
```
&SYSTEM
  ibrav = 0, nat = 12, ntyp = 4
/
ATOMIC_SPECIES
Ho 164.93 Ho.upf
Te 127.60 Te.upf
P 30.97 P.upf
Au 196.97 Au.upf
CELL_PARAMETERS angstrom
7.2319 -0.0067 -0.0059
-3.6200 6.2607 -0.0059
-1.2113 -2.0973 6.9376
ATOMIC_POSITIONS crystal
Ho 0.9280 0.5812 0.7830
Ho 0.7258 0.7258 0.2152
Ho 0.0720 0.4188 0.2170
Ho 0.5812 0.9280 0.7830
Ho 0.2742 0.2742 0.7848
Ho 0.4188 0.0720 0.2170
Te 0.1643 0.8357 0.5000
Te 0.8357 0.1643 0.5000
Te 0.5000 0.5000 0.5000
P 0.3336 0.6664 0.0000
P 0.6664 0.3336 0.0000
Au 0.0000 0.0000 0.0000
```

Formation energy without anion corrections in eV per atom: -1.3462

---

3.
VASP calculation (PBE-GGA) on a relaxed structure of Be2Al2H. Values from VASP.

Geometry as Quantum ESPRESSO input:
```
&SYSTEM
  ibrav = 0, nat = 10, ntyp = 3
/
ATOMIC_SPECIES
Be 9.01 Be.upf
Al 26.98 Al.upf
H 1.01 H.upf
CELL_PARAMETERS angstrom
6.7982 0.0000 0.0000
0.0000 6.7982 0.0000
0.0000 0.0000 2.6215
ATOMIC_POSITIONS crystal
Be 0.3931 0.8931 0.0000
Be 0.8931 0.6069 0.0000
Be 0.6069 0.1069 0.0000
Be 0.1069 0.3931 0.0000
Al 0.1914 0.6914 0.5000
Al 0.6914 0.8086 0.5000
Al 0.8086 0.3086 0.5000
Al 0.3086 0.1914 0.5000
H 0.0000 0.0000 0.0000
H 0.5000 0.5000 0.0000
```

E above lowest polymorph in meV/atom: 0

---

4.
VASP calculation (PBE-GGA) on a relaxed structure of YCrSeBr2. Values from VASP.

Geometry as Quantum ESPRESSO input:
```
&SYSTEM
  ibrav = 0, nat = 5, ntyp = 4
/
ATOMIC_SPECIES
Y 88.91 Y.upf
Cr 52.00 Cr.upf
Se 78.96 Se.upf
Br 79.90 Br.upf
CELL_PARAMETERS angstrom
5.5255 0.0000 0.0000
0.0000 5.5255 0.0000
0.0000 0.0000 5.5399
ATOMIC_POSITIONS crystal
Y 0.0000 0.0000 0.0000
Cr 0.5000 0.5000 0.5000
Se 0.0000 0.0000 0.5000
Br 0.0000 0.5000 0.0000
Br 0.5000 0.0000 0.0000
```

E above lowest polymorph in meV/atom: 0
Formation energy without anion corrections in eV per atom: -0.6186

---

5.
VASP calculation (PBE-GGA) on a relaxed structure of Sr2AgOsPt. Values from VASP.

Geometry as Quantum ESPRESSO input:
```
&SYSTEM
  ibrav = 0, nat = 5, ntyp = 4
/
ATOMIC_SPECIES
Sr 87.62 Sr.upf
Os 190.23 Os.upf
Ag 107.87 Ag.upf
Pt 195.08 Pt.upf
CELL_PARAMETERS angstrom
-3.3891 3.4273 -3.2824
-0.9781 -3.7145 -2.8686
-4.5940 -1.3582 3.3252
ATOMIC_POSITIONS crystal
Sr 0.0000 0.0000 0.5000
Sr 0.5000 0.0000 0.0000
Os 0.0000 0.5000 0.0000
Ag 0.5000 0.5000 0.5000
Pt 0.0000 0.0000 0.0000
```

Electronic total energy in eV per atom: -4.32

---

6.
VASP calculation (PBE-GGA) on a relaxed structure of PaTcB. Values from VASP.

Geometry as Quantum ESPRESSO input:
```
&SYSTEM
  ibrav = 0, nat = 6, ntyp = 3
/
ATOMIC_SPECIES
B 10.81 B.upf
Tc 98.00 Tc.upf
Pa 231.04 Pa.upf
CELL_PARAMETERS angstrom
3.6959 0.0000 0.0000
1.8479 3.2007 0.0000
1.8479 1.0669 8.2763
ATOMIC_POSITIONS crystal
B 0.0415 0.0415 0.8756
B 0.9585 0.9585 0.1244
Tc 0.6252 0.6252 0.1245
Tc 0.3748 0.3748 0.8755
Pa 0.2172 0.2172 0.3484
Pa 0.7828 0.7828 0.6516
```

E above lowest polymorph in meV/atom: 187